[1]
## NiPbCl6 (PBE)

Data for NiPbCl6 after structural relaxation.

Energy relative to the elements, uncorrected, eV/atom: -0.585
E above lowest polymorph, kJ/mol of formula units: 2.3

Geometry as POSCAR:
```
NiPbCl6
1.0
-4.137 -2.888 3.785
-5.039 -2.893 -2.455
0.011 -6.902 0.005
Cl Ni Pb
6 1 1
Cartesian
-2.065 -6.583 -0.805 Cl
-5.625 -8.805 -0.518 Cl
-3.540 -3.878 1.854 Cl
-7.099 -6.100 2.141 Cl
-3.491 -7.797 2.961 Cl
-5.673 -4.887 -1.625 Cl
0.000 0.000 0.000 Ni
-4.582 -6.342 0.668 Pb
```

***

[2]
## CaCd12Hg6 (PBE)

Data for CaCd12Hg6 after structural relaxation.

Energy relative to the elements, kJ per mole of atoms: -4

Geometry as POSCAR:
```
CaCd12Hg6
1.0
-5.951 2.313 4.837
2.419 -6.917 3.236
5.932 5.062 1.829
Hg Cd Ca
6 12 1
Cartesian
1.378 2.152 7.459 Hg
-1.134 0.656 2.857 Hg
1.022 -1.693 2.444 Hg
3.534 -0.197 7.045 Hg
0.497 -0.920 7.815 Hg
1.903 1.379 2.088 Hg
3.761 -0.630 3.892 Cd
5.178 -2.582 5.860 Cd
-2.778 3.041 4.042 Cd
0.193 -4.450 3.669 Cd
4.991 1.869 2.213 Cd
0.437 2.997 4.529 Cd
2.207 4.909 6.233 Cd
-0.926 -1.741 5.079 Cd
-1.361 1.089 6.011 Cd
-2.591 -1.410 7.689 Cd
3.326 2.200 4.823 Cd
1.963 -2.538 5.373 Cd
0.000 0.000 0.000 Ca
```

***

[3]
## TaGaP (PBE)

Data for TaGaP after structural relaxation.

Energy relative to the elements, kJ per mole of atoms: -42

Geometry as POSCAR:
```
TaGaP
1.0
-1.989 2.464 1.445
0.790 -1.218 3.164
6.284 4.890 0.314
Ta P Ga
2 2 2
Cartesian
0.761 2.598 0.810 Ta
4.923 2.915 1.808 Ta
2.850 1.302 1.704 P
2.834 4.211 0.913 P
0.000 0.000 0.000 Ga
-0.600 0.623 2.304 Ga
```

***

[4]
## TiSn3Rh6 (PBE)

Data for TiSn3Rh6 after structural relaxation.

Energy relative to the elements, kJ per mole of atoms: -44

Geometry as POSCAR:
```
TiSn3Rh6
1.0
-0.670 1.557 4.156
-7.056 -3.496 0.173
7.569 -5.846 3.411
Sn Rh Ti
6 12 2
Cartesian
3.316 -5.551 3.827 Sn
-1.019 -3.598 2.396 Sn
0.862 -4.186 5.343 Sn
-1.708 0.317 3.241 Sn
1.551 -8.101 4.498 Sn
-3.473 -2.233 3.913 Sn
3.722 -3.382 5.503 Rh
-6.009 -2.946 3.771 Rh
-2.080 -4.337 4.926 Rh
2.505 -6.164 6.349 Rh
5.852 -4.838 3.969 Rh
-0.009 -5.864 3.408 Rh
1.923 -3.447 2.814 Rh
-3.879 -4.402 2.236 Rh
0.199 -1.232 1.706 Rh
-0.356 -6.552 6.034 Rh
-0.148 -1.920 4.331 Rh
-2.662 -1.620 1.390 Rh
-2.444 -6.363 3.203 Ti
2.287 -1.421 4.537 Ti
```